(1)
First-principles (PBE) data for a geometry-optimized PbS4Cl structure, as listed in Alexandria via LeMat-Bulk.

Cell lengths 4.861, 7.077, 10.650 Å; angles 76.34, 77.97, 88.32 degrees
Element x y z (fractional)
Pb 0.154 0.029 0.251
Pb 0.846 0.971 0.749
S 0.321 0.069 0.489
S 0.335 0.190 0.924
S 0.373 0.477 0.448
S 0.378 0.796 0.977
S 0.622 0.204 0.023
S 0.627 0.523 0.552
S 0.665 0.810 0.076
S 0.679 0.931 0.511
Cl 0.025 0.625 0.765
Cl 0.975 0.375 0.235

Properties
As for the crystal system: triclinic. The value obtained for the calculated total energy is -0.139 Ha/atom. The energy relative to the elements, uncorrected is -10.5 kJ per mole of atoms.

=====

(2)
First-principles (PBE) data for a geometry-optimized KHfGa structure, as listed in Alexandria via LeMat-Bulk.

Cell lengths 5.247, 5.247, 3.199 Å; angles 90.00, 90.00, 120.00 degrees
Element x y z (fractional)
K 0.000 0.000 0.000
Hf 0.667 0.333 0.500
Ga 0.333 0.667 0.500

Properties
The energy above the most stable polymorph in this dataset comes out at 740 meV per atom. As for the crystal system: hexagonal. The value obtained for the calculated total energy is -0.148 Ha/atom. The value obtained for the formation energy is 191 kJ/mol of formula units.

=====

(3)
First-principles (PBE) data for a geometry-optimized Pa5As5P structure, as listed in Alexandria via LeMat-Bulk.

Cell lengths 7.019, 7.019, 8.109 Å; angles 107.01, 107.01, 48.10 degrees
Element x y z (fractional)
Pa 0.000 0.000 0.000
Pa 0.338 0.338 0.674
Pa 0.340 0.340 0.164
Pa 0.660 0.660 0.836
Pa 0.662 0.662 0.326
As 0.163 0.163 0.824
As 0.170 0.170 0.337
As 0.500 0.500 0.500
As 0.830 0.830 0.663
As 0.837 0.837 0.176
P 0.500 0.500 0.000

Properties
As for the crystal system: monoclinic. The value obtained for the calculated total energy is -0.289 Ha/atom. The value obtained for the formation energy is -1006 kJ/mol of formula units.

=====

(4)
First-principles (PBE) data for a geometry-optimized PrHfRh structure, as listed in Alexandria via LeMat-Bulk.

Cell lengths 3.405, 3.405, 12.123 Å; angles 90.00, 90.00, 90.00 degrees
Element x y z (fractional)
Pr 0.000 0.000 0.000
Pr 0.500 0.500 0.500
Hf 0.000 0.000 0.283
Hf 0.500 0.500 0.783
Rh 0.000 0.000 0.686
Rh 0.500 0.500 0.186

Properties
The energy above the most stable polymorph in this dataset comes out at 189 meV per atom. As for the crystal system: tetragonal. The value obtained for the calculated total energy is -0.286 Ha/atom. The value obtained for the formation energy is -119 kJ/mol of formula units.

=====

(5)
First-principles (PBE) data for a geometry-optimized ZrTl2Cl structure, as listed in Alexandria via LeMat-Bulk.

Cell lengths 4.328, 4.328, 10.824 Å; angles 90.00, 90.00, 90.00 degrees
Element x y z (fractional)
Zr 0.000 0.000 0.000
Zr 0.500 0.500 0.500
Tl 0.000 0.000 0.500
Tl 0.000 0.500 0.250
Tl 0.500 0.000 0.750
Tl 0.500 0.500 0.000
Cl 0.000 0.500 0.750
Cl 0.500 0.000 0.250

Properties
The energy above the most stable polymorph in this dataset comes out at 556 meV per atom. As for the crystal system: tetragonal. The value obtained for the calculated total energy is -0.138 Ha/atom. The energy relative to the elements, uncorrected is 1.3 kJ per mole of atoms.

=====

(6)
First-principles (PBE) data for a geometry-optimized ErTmCoGe structure, as listed in Alexandria via LeMat-Bulk.

Cell lengths 6.853, 6.853, 6.853 Å; angles 90.00, 90.00, 90.00 degrees
Element x y z (fractional)
Er 0.000 0.000 0.000
Er 0.000 0.500 0.500
Er 0.500 0.000 0.500
Er 0.500 0.500 0.000
Tm 0.000 0.000 0.500
Tm 0.000 0.500 0.000
Tm 0.500 0.000 0.000
Tm 0.500 0.500 0.500
Co 0.250 0.250 0.250
Co 0.250 0.750 0.750
Co 0.750 0.250 0.750
Co 0.750 0.750 0.250
Ge 0.250 0.250 0.750
Ge 0.250 0.750 0.250
Ge 0.750 0.250 0.250
Ge 0.750 0.750 0.750

Properties
As for the crystal system: cubic. The value obtained for the calculated total energy is -0.206 Ha/atom. The value obtained for the formation energy is -163 kJ/mol of formula units.

=====

(7)
First-principles (PBE) data for a geometry-optimized MnTl2Au structure, as listed in Alexandria via LeMat-Bulk.

Cell lengths 9.149, 3.468, 6.106 Å; angles 90.00, 102.35, 90.00 degrees
Element x y z (fractional)
Mn 0.000 0.000 0.000
Mn 0.500 0.500 0.000
Tl 0.251 0.000 0.744
Tl 0.481 0.000 0.420
Tl 0.751 0.500 0.744
Tl 0.981 0.500 0.420
Au 0.226 0.500 0.156
Au 0.726 0.000 0.156

Properties
The energy above the most stable polymorph in this dataset comes out at 92 meV per atom. As for the crystal system: monoclinic. The value obtained for the calculated total energy is -0.149 Ha/atom. The value obtained for the formation energy is 90 kJ/mol of formula units.

=====

(8)
First-principles (PBE) data for a geometry-optimized MgHgS3 structure, as listed in Alexandria via LeMat-Bulk.

Cell lengths 4.969, 4.969, 4.969 Å; angles 90.00, 90.00, 90.00 degrees
Element x y z (fractional)
Mg 0.000 0.000 0.000
Hg 0.500 0.500 0.500
S 0.000 0.500 0.500
S 0.500 0.000 0.500
S 0.500 0.500 0.000

Properties
As for the crystal system: cubic. The value obtained for the calculated total energy is -0.087 Ha/atom. The energy relative to the elements, uncorrected is 47.1 kJ per mole of atoms.

=====

(9)
First-principles (PBE) data for a geometry-optimized RbNdI2O8 structure, as listed in Alexandria via LeMat-Bulk.

Cell lengths 6.382, 6.382, 8.173 Å; angles 90.00, 90.00, 120.00 degrees
Element x y z (fractional)
Rb 0.000 0.000 0.000
Nd 0.000 0.000 0.500
I 0.333 0.667 0.727
I 0.667 0.333 0.273
O 0.149 0.328 0.684
O 0.178 0.851 0.684
O 0.328 0.178 0.316
O 0.333 0.667 0.946
O 0.667 0.333 0.054
O 0.672 0.822 0.684
O 0.822 0.149 0.316
O 0.851 0.672 0.316

Properties
As for the crystal system: trigonal. The value obtained for the calculated total energy is -0.186 Ha/atom. The energy relative to the elements, uncorrected is -99.6 kJ per mole of atoms.

=====

(10)
First-principles (PBE) data for a geometry-optimized LiPtPb2O4 structure, as listed in Alexandria via LeMat-Bulk.

Cell lengths 11.727, 10.514, 6.553 Å; angles 83.35, 62.94, 33.71 degrees
Element x y z (fractional)
Li 0.125 0.125 0.125
Li 0.875 0.875 0.875
Pt 0.375 0.375 0.375
Pt 0.625 0.625 0.625
Pb 0.191 0.191 0.559
Pb 0.441 0.441 0.809
Pb 0.559 0.559 0.191
Pb 0.809 0.809 0.441
O 0.021 0.750 0.491
O 0.238 0.491 0.750
O 0.250 0.979 0.762
O 0.491 0.238 0.021
O 0.509 0.762 0.979
O 0.750 0.021 0.238
O 0.762 0.509 0.250
O 0.979 0.250 0.509

Properties
As for the crystal system: orthorhombic. The value obtained for the calculated total energy is -0.193 Ha/atom. The energy relative to the elements, uncorrected is -81.9 kJ per mole of atoms.

=====

(11)
First-principles (PBE) data for a geometry-optimized Er2MgGe structure, as listed in Alexandria via LeMat-Bulk.

Cell lengths 4.737, 4.737, 4.156 Å; angles 90.00, 90.00, 90.00 degrees
Element x y z (fractional)
Er 0.000 0.500 0.000
Er 0.500 0.000 0.000
Mg 0.000 0.000 0.500
Ge 0.500 0.500 0.500

Properties
As for the crystal system: tetragonal. The value obtained for the calculated total energy is -0.155 Ha/atom. The value obtained for the formation energy is -147 kJ/mol of formula units.

=====

(12)
First-principles (PBE) data for a geometry-optimized In2CoOsPb structure, as listed in Alexandria via LeMat-Bulk.

Cell lengths 5.171, 5.171, 4.687 Å; angles 90.00, 90.00, 90.00 degrees
Element x y z (fractional)
In 0.000 0.500 0.000
In 0.500 0.000 0.000
Co 0.000 0.000 0.500
Os 0.000 0.000 0.000
Pb 0.500 0.500 0.500

Properties
As for the crystal system: tetragonal. The value obtained for the calculated total energy is -0.176 Ha/atom. The value obtained for the formation energy is 349 kJ/mol of formula units.